This record from Alexandria describes crystalline BaCoSeO at its relaxed geometry. The functional is PBE with a Hubbard U.

a = 4.216 Å, b = 4.216 Å, c = 6.091 Å
α = 90.00°, β = 90.00°, γ = 120.00°
Sites, in units of the cell vectors:
Ba 0.905 0.811 0.762
Co 0.239 0.477 0.216
Se 0.572 0.144 0.350
O 0.239 0.477 0.910

Output
- raw total energy (eV/atom) = -5.35
- size of the total moment (μB/atom) = 0.7500